# 1
The following is a DFT calculation (PBE) of a relaxed structure of BaMoPd3.

Output
DFT formation energy: 1.6585 eV per atom
offset from the most stable computed form: 30.99 kcal/mol of atoms
uncorrected energy: -4.008 eV per atom
crystal system: cubic

Unit cell a=5.3181 b=5.3181 c=5.3181 alpha=90.00 beta=90.00 gamma=90.00
Closest atoms and distances in Å follow each position.
Element x y z (fractional)
1 Ba 0.0000 0.0000 0.0000  6 Pd 2.66
2 Mo 0.5000 0.5000 0.5000  12 Pd 3.76
3 Pd 0.0000 0.0000 0.5000  2 Ba 2.66
4 Pd 0.0000 0.5000 0.0000  2 Ba 2.66
5 Pd 0.5000 0.0000 0.0000  2 Ba 2.66

# 2
The following is a DFT calculation (PBE) of a relaxed structure of LiPW2.

Output
DFT formation energy: 0.3393 eV per atom
uncorrected energy: -7.968 eV per atom
crystal system: tetragonal

Unit cell a=4.7204 b=4.7204 c=4.7204 alpha=132.90 beta=132.90 gamma=68.82
Closest atoms and distances in Å follow each position.
Element x y z (fractional)
1 Li 0.0000 0.0000 0.0000  4 P 2.67, 8 W 2.71
2 P 0.5000 0.5000 0.0000  4 Li 2.67, 8 W 2.71
3 W 0.2500 0.7500 0.5000  4 W 2.67, 4 Li 2.71, 4 P 2.71
4 W 0.7500 0.2500 0.5000  4 W 2.67, 4 Li 2.71, 4 P 2.71

# 3
The following is a DFT calculation (PBE) of a relaxed structure of BaTc2NiPt.

Output
DFT formation energy: 1.5678 eV per atom
uncorrected energy: -5.328 eV per atom
crystal system: tetragonal

Unit cell a=4.8198 b=4.8198 c=6.0033 alpha=90.00 beta=90.00 gamma=90.00
Closest atoms and distances in Å follow each position.
Element x y z (fractional)
1 Ba 0.0000 0.0000 0.0000  2 Pt 3.00
2 Tc 0.0000 0.5000 0.5000  2 Pt 2.41
3 Tc 0.5000 0.0000 0.5000  2 Pt 2.41
4 Ni 0.5000 0.5000 0.0000  4 Ba 3.41
5 Pt 0.0000 0.0000 0.5000  4 Tc 2.41

# 4
The following is a DFT calculation (PBE) of a relaxed structure of LaCuAs2.

Output
DFT formation energy: -0.6177 eV per atom
uncorrected energy: -5.198 eV per atom
crystal system: monoclinic

Unit cell a=4.8872 b=4.8872 c=6.1790 alpha=124.58 beta=124.58 gamma=50.79
Closest atoms and distances in Å follow each position.
Element x y z (fractional)
1 La 0.0000 0.0000 0.0000  6 As 3.00-3.23
2 Cu 0.5000 0.5000 0.5000  4 As 2.47
3 As 0.1893 0.1893 0.6917  2 Cu 2.47, 1 As 2.61
4 As 0.8107 0.8107 0.3083  2 Cu 2.47, 1 As 2.61

# 5
The following is a DFT calculation (PBE) of a relaxed structure of K3BiB2O6.

Output
uncorrected formation energy: -189.6 kJ per mole of atoms
uncorrected energy: -6.154 eV per atom
crystal system: trigonal

Unit cell a=5.6292 b=5.6292 c=7.0633 alpha=90.00 beta=90.00 gamma=120.00
Closest atoms and distances in Å follow each position.
Element x y z (fractional)
1 K 0.0000 0.0000 0.0000  6 O 2.75
2 K 0.3333 0.6667 0.7466  6 O 2.83
3 K 0.6667 0.3333 0.2534  6 O 2.83
4 Bi 0.0000 0.0000 0.5000  6 O 2.39
5 B 0.3333 0.6667 0.2907  3 O 1.40
6 B 0.6667 0.3333 0.7093  3 O 1.40
7 O 0.1901 0.3802 0.2870  1 B 1.40
8 O 0.1901 0.8099 0.2870  1 B 1.40
9 O 0.3802 0.1901 0.7130  1 B 1.40
10 O 0.6198 0.8099 0.2870  1 B 1.40
11 O 0.8099 0.1901 0.7130  1 B 1.40
12 O 0.8099 0.6198 0.7130  1 B 1.40

# 6
The following is a DFT calculation (PBE) of a relaxed structure of YGa6Co4.

Output
DFT formation energy: -0.2970 eV per atom
uncorrected energy: -5.120 eV per atom
crystal system: hexagonal

Unit cell a=6.9528 b=6.9528 c=3.8890 alpha=90.00 beta=90.00 gamma=120.00
Closest atoms and distances in Å follow each position.
Element x y z (fractional)
1 Y 0.0000 0.0000 0.0000  6 Ga 3.05, 6 Co 3.21
2 Ga 0.1954 0.3908 0.5000  4 Co 2.46-2.56
3 Ga 0.1954 0.8046 0.5000  4 Co 2.46-2.56
4 Ga 0.5330 0.0659 0.0000  5 Co 2.40-2.48
5 Ga 0.5330 0.4670 0.0000  5 Co 2.40-2.48
6 Ga 0.6092 0.8046 0.5000  4 Co 2.46-2.56
7 Ga 0.9341 0.4670 0.0000  5 Co 2.40-2.48
8 Co 0.3333 0.6667 0.0000  9 Ga 2.40-2.56
9 Co 0.4239 0.2120 0.5000  6 Ga 2.46-2.48, 2 Co 2.53
10 Co 0.7880 0.2120 0.5000  6 Ga 2.46-2.48, 2 Co 2.53
11 Co 0.7880 0.5761 0.5000  6 Ga 2.46-2.48, 2 Co 2.53